Ba2SnWO6: optimized geometry, PBE+U.

Structure (POSCAR):
```
Ba2SnWO6
1.0
6.168 0.000 0.000
0.000 6.167 0.000
3.084 3.083 4.361
Sn Ba O W
1 2 6 1
direct
0.500 0.500 0.000 Sn
0.750 0.250 0.500 Ba
0.250 0.750 0.500 Ba
0.775 0.224 0.000 O
0.776 0.776 0.449 O
0.224 0.225 0.000 O
0.224 0.224 0.551 O
0.225 0.776 0.000 O
0.776 0.775 0.000 O
0.000 0.000 0.000 W
```

* final energy: -6.71 eV/atom
* size of the total moment: 0.000 Bohr magnetons per cell
* SG: Fm-3m